Nd2TlPd9: relaxed, PBE-GGA.

- E (eV/atom) = -5.466
- M_tot (μB per formula unit) = 0.000
- D(E_F) (states/eV/f.u.) = 7.11
- crystal system = tetragonal
- E_form (meV/atom) = -580

abc: 4.187 4.187 12.380
angles: 90.00 90.00 90.00
Sites, in units of the cell vectors:
Nd1 0.000 0.000 0.172
Nd2 0.000 0.000 0.828
Tl1 0.000 0.000 0.500
Pd1 0.000 0.500 0.000
Pd2 0.000 0.500 0.340
Pd3 0.000 0.500 0.660
Pd4 0.500 0.000 0.000
Pd5 0.500 0.000 0.340
Pd6 0.500 0.000 0.660
Pd7 0.500 0.500 0.169
Pd8 0.500 0.500 0.500
Pd9 0.500 0.500 0.831

***

NdTl2Pd2: relaxed, PBE-GGA.

- E (eV/atom) = -4.415
- M_tot (μB per formula unit) = 0.000
- D(E_F) (states/eV/f.u.) = 2.35
- crystal system = monoclinic
- E_form (meV/atom) = -438

abc: 5.486 4.810 9.283
angles: 90.00 105.45 90.00
Sites, in units of the cell vectors:
Nd1 0.183 0.250 0.268
Nd2 0.817 0.750 0.732
Tl1 0.213 0.250 0.627
Tl2 0.367 0.750 0.048
Tl3 0.633 0.250 0.952
Tl4 0.787 0.750 0.373
Pd1 0.105 0.250 0.909
Pd2 0.337 0.750 0.474
Pd3 0.663 0.250 0.526
Pd4 0.895 0.750 0.091

***

Nd4TlPd: relaxed, PBE-GGA.

- E (eV/atom) = -4.785
- M_tot (μB per formula unit) = 0.000
- D(E_F) (states/eV/f.u.) = 6.99
- relative energy among the computed polymorphs (eV/atom) = 0.059
- crystal system = triclinic
- E_form (meV/atom) = -347

abc: 6.023 8.482 8.487
angles: 116.08 101.85 101.75
Sites, in units of the cell vectors:
Nd1 0.072 0.304 0.423
Nd2 0.149 0.203 0.856
Nd3 0.351 0.643 0.298
Nd4 0.428 0.077 0.196
Nd5 0.572 0.923 0.804
Nd6 0.649 0.357 0.702
Nd7 0.851 0.797 0.144
Nd8 0.928 0.696 0.577
Tl1 0.250 0.617 0.884
Tl2 0.750 0.383 0.116
Pd1 0.250 0.998 0.502
Pd2 0.750 0.002 0.498

***

NdTlPd: relaxed, PBE-GGA.

- E (eV/atom) = -4.615
- M_tot (μB per formula unit) = 0.000
- D(E_F) (states/eV/f.u.) = 4.67
- relative energy among the computed polymorphs (eV/atom) = 0.137
- crystal system = cubic
- E_form (meV/atom) = -506

abc: 4.853 4.853 4.853
angles: 60.00 60.00 60.00
Sites, in units of the cell vectors:
Nd1 0.000 0.000 0.000
Tl1 0.500 0.500 0.500
Pd1 0.250 0.250 0.250

***

NdTl2Pd6: relaxed, PBE-GGA.

- E (eV/atom) = -4.841
- M_tot (μB per formula unit) = 0.000
- D(E_F) (states/eV/f.u.) = 3.53
- crystal system = hexagonal
- E_form (meV/atom) = -323

abc: 5.580 5.580 7.320
angles: 90.00 90.00 120.00
Sites, in units of the cell vectors:
Nd1 0.000 0.000 0.000
Tl1 0.333 0.667 0.500
Tl2 0.667 0.333 0.500
Pd1 0.000 0.500 0.185
Pd2 0.000 0.500 0.815
Pd3 0.500 0.000 0.185
Pd4 0.500 0.000 0.815
Pd5 0.500 0.500 0.185
Pd6 0.500 0.500 0.815

***

NdTl2Pd: relaxed, PBE-GGA.

- E (eV/atom) = -4.117
- M_tot (μB per formula unit) = 0.000
- D(E_F) (states/eV/f.u.) = 2.58
- crystal system = tetragonal
- E_form (meV/atom) = -444

abc: 9.053 9.053 9.053
angles: 148.63 148.63 44.96
Sites, in units of the cell vectors:
Nd1 0.141 0.141 0.000
Nd2 0.859 0.859 0.000
Tl1 0.000 0.500 0.500
Tl2 0.348 0.348 0.000
Tl3 0.500 0.000 0.500
Tl4 0.652 0.652 0.000
Pd1 0.250 0.750 0.500
Pd2 0.750 0.250 0.500